Arrangement a

Computed, not measured: an optimized crystal structure of TeAsIBr2 at the PBE-GGA level of DFT.

Cell lengths 5.4045, 5.4045, 5.8621 Å; angles 90.00, 90.00, 90.00 degrees
Sites, in units of the cell vectors:
Br 0.5000 0.0000 0.0000
I 0.5000 0.5000 0.5000
As 0.0000 0.0000 0.5000
Br 0.0000 0.5000 0.0000
Te 0.0000 0.0000 0.0000

Arrangement b

Computed, not measured: an optimized crystal structure of TeAsIBr2 at the PBE-GGA level of DFT.

Cell lengths 5.2286, 5.9429, 5.2286 Å; angles 90.00, 90.00, 90.00 degrees
Sites, in units of the cell vectors:
I 0.0000 0.5000 0.0000
As 0.0000 0.0000 0.0000
Br 0.0000 0.0000 0.5000
Br 0.5000 0.0000 0.0000
Te 0.5000 0.5000 0.5000

Which structure is most stable, and how do the rest compare? From most to least stable: arrangement b, arrangement a.

Arrangement a

Computed, not measured: an optimized crystal structure of TlAs2IBr at the PBE-GGA level of DFT.

Cell lengths 5.5482, 5.5482, 5.5223 Å; angles 90.00, 90.00, 90.00 degrees
Sites, in units of the cell vectors:
Tl 0.0000 0.0000 0.0000
As 0.0000 0.5000 0.0000
I 0.5000 0.5000 0.5000
Br 0.0000 0.0000 0.5000
As 0.5000 0.0000 0.0000

Arrangement b

Computed, not measured: an optimized crystal structure of TlAs2IBr at the PBE-GGA level of DFT.

Cell lengths 5.4656, 5.4656, 7.4750 Å; angles 90.00, 90.00, 90.00 degrees
Sites, in units of the cell vectors:
Br 0.0000 0.0000 0.5000
Tl 0.5000 0.5000 0.5000
As 0.5000 0.0000 0.0000
I 0.0000 0.0000 0.0000
As 0.0000 0.5000 0.0000

Which structure is most stable, and how do the rest compare? From most to least stable: arrangement b, arrangement a.

Arrangement a

Computed, not measured: an optimized crystal structure of YAsIBr2 at the PBE-GGA level of DFT.

Cell lengths 5.3904, 5.3904, 6.1886 Å; angles 90.00, 90.00, 90.00 degrees
Sites, in units of the cell vectors:
I 0.5000 0.5000 0.5000
As 0.0000 0.0000 0.5000
Y 0.0000 0.0000 0.0000
Br 0.0000 0.5000 0.0000
Br 0.5000 0.0000 0.0000

Arrangement b

Computed, not measured: an optimized crystal structure of YAsIBr2 at the PBE-GGA level of DFT.

Cell lengths 5.5399, 5.5399, 5.6676 Å; angles 90.00, 90.00, 90.00 degrees
Sites, in units of the cell vectors:
Br 0.0000 0.5000 0.0000
As 0.0000 0.0000 0.5000
Y 0.5000 0.5000 0.5000
I 0.0000 0.0000 0.0000
Br 0.5000 0.0000 0.0000

Which structure is most stable, and how do the rest compare? From most to least stable: arrangement a, arrangement b.

Arrangement a

Computed, not measured: an optimized crystal structure of ZnAsIBr2 at the PBE-GGA level of DFT.

Cell lengths 5.8060, 5.8060, 5.5161 Å; angles 90.00, 90.00, 90.00 degrees
Sites, in units of the cell vectors:
Zn 0.5000 0.5000 0.5000
Br 0.5000 0.0000 0.0000
Br 0.0000 0.5000 0.0000
I 0.0000 0.0000 0.0000
As 0.0000 0.0000 0.5000

Arrangement b

Computed, not measured: an optimized crystal structure of ZnAsIBr2 at the PBE-GGA level of DFT.

Cell lengths 4.9429, 4.9429, 5.6738 Å; angles 90.00, 90.00, 90.00 degrees
Sites, in units of the cell vectors:
I 0.5000 0.5000 0.5000
Zn 0.0000 0.0000 0.0000
Br 0.0000 0.5000 0.0000
As 0.0000 0.0000 0.5000
Br 0.5000 0.0000 0.0000

Which structure is most stable, and how do the rest compare? From most to least stable: arrangement b, arrangement a.

Arrangement a

Computed, not measured: an optimized crystal structure of ZrAs2IBr at the PBE-GGA level of DFT.

Cell lengths 5.3530, 5.3530, 5.3858 Å; angles 90.00, 90.00, 90.00 degrees
Sites, in units of the cell vectors:
I 0.0000 0.0000 0.0000
As 0.5000 0.0000 0.0000
Br 0.0000 0.0000 0.5000
Zr 0.5000 0.5000 0.5000
As 0.0000 0.5000 0.0000

Arrangement b

Computed, not measured: an optimized crystal structure of ZrAs2IBr at the PBE-GGA level of DFT.

Cell lengths 5.3463, 5.2171, 5.3463 Å; angles 90.00, 90.00, 90.00 degrees
Sites, in units of the cell vectors:
As 0.5000 0.0000 0.0000
As 0.0000 0.0000 0.5000
Zr 0.0000 0.0000 0.0000
I 0.5000 0.5000 0.5000
Br 0.0000 0.5000 0.0000

Which structure is most stable, and how do the rest compare? From most to least stable: arrangement b, arrangement a.

Arrangement a

Computed, not measured: an optimized crystal structure of InAs3Br at the PBE-GGA level of DFT.

Cell lengths 5.2956, 5.2956, 5.2956 Å; angles 90.00, 90.00, 90.00 degrees
Sites, in units of the cell vectors:
Br 0.5000 0.5000 0.5000
As 0.5000 0.0000 0.0000
As 0.0000 0.0000 0.5000
As 0.0000 0.5000 0.0000
In 0.0000 0.0000 0.0000

Arrangement b

Computed, not measured: an optimized crystal structure of InAs3Br at the PBE-GGA level of DFT.

Cell lengths 5.1544, 5.1544, 5.1544 Å; angles 90.00, 90.00, 90.00 degrees
Sites, in units of the cell vectors:
As 0.5000 0.0000 0.0000
In 0.5000 0.5000 0.5000
As 0.0000 0.0000 0.5000
Br 0.0000 0.0000 0.0000
As 0.0000 0.5000 0.0000

Which structure is most stable, and how do the rest compare? From most to least stable: arrangement a, arrangement b.